Record 1
# GGA-PBE RbInSn, relaxed
# E_form: -0.56 eV per formula unit
# Calculated total energy: -2.756 eV per atom
data_RbInSn
_space_group_name_H-M_alt 'P 1'
_space_group_IT_number 1
_space_group_name_Hall 'P 1'
_cell_length_a 5.103
_cell_length_b 4.833
_cell_length_c 9.111
_cell_angle_alpha 90.00
_cell_angle_beta 90.00
_cell_angle_gamma 90.00
loop_
_atom_site_label
_atom_site_fract_x
_atom_site_fract_y
_atom_site_fract_z
Sn1 0.000 0.500 0.099
Sn2 0.000 0.000 0.305
Rb1 0.500 0.000 0.960
Rb2 0.000 0.500 0.644
In1 0.500 0.500 0.298
In2 0.500 0.000 0.515

---

Record 2
# GGA-PBE RbIn3Sn, relaxed
# E_form: 0.94 eV per formula unit
# Calculated total energy: -2.448 eV per atom
# ΔE to the lowest computed polymorph: 340.2 meV per atom
data_RbIn3Sn
_space_group_name_H-M_alt 'P 1'
_space_group_IT_number 1
_space_group_name_Hall 'P 1'
_cell_length_a 5.953
_cell_length_b 5.953
_cell_length_c 5.953
_cell_angle_alpha 90.00
_cell_angle_beta 90.00
_cell_angle_gamma 90.00
loop_
_atom_site_label
_atom_site_fract_x
_atom_site_fract_y
_atom_site_fract_z
In1 0.500 0.000 0.000
Rb1 0.500 0.500 0.500
In2 0.000 0.500 0.000
Sn1 0.000 0.000 0.000
In3 0.000 0.000 0.500

---

Record 3
# GGA-PBE RbIn2Sn2, relaxed
# E_form: -0.80 eV per formula unit
# Calculated total energy: -3.049 eV per atom
# ΔE to the lowest computed polymorph: 2.4 meV per atom
data_RbIn2Sn2
_space_group_name_H-M_alt 'P 1'
_space_group_IT_number 1
_space_group_name_Hall 'P 1'
_cell_length_a 5.345
_cell_length_b 5.345
_cell_length_c 6.974
_cell_angle_alpha 67.47
_cell_angle_beta 67.47
_cell_angle_gamma 90.00
loop_
_atom_site_label
_atom_site_fract_x
_atom_site_fract_y
_atom_site_fract_z
Rb1 0.000 0.000 0.000
In1 0.250 0.750 0.500
In2 0.750 0.250 0.500
Sn1 0.625 0.625 0.749
Sn2 0.375 0.375 0.251